(1)
A relaxed structure of CaSICl2. Source: the Alexandria database, functional GGA-PBE.

The structure belongs to space group P4/mmm (No. 123); the cell edges are 5.115, 5.115 and 5.971 Å and the angles 90.00°, 90.00° and 90.00°. Symmetry generates all atoms from Ca at (0.000, 0.000, 0.000), S at (0.000, 0.000, 0.500), I at (0.500, 0.500, 0.500) and Cl at (0.000, 0.500, 0.000).

The calculation puts the density of states at the Fermi level at 6.6 states/eV/cell. The crystal system is tetragonal. The value obtained for the uncorrected formation energy is -3.40 eV/f.u.


(2)
A relaxed structure of CaTaSi2. Source: the Alexandria database, functional GGA-PBE.

The structure belongs to space group C2/m (No. 12); the cell edges are 8.640, 3.476 and 5.812 Å and the angles 90.00°, 107.03° and 90.00°. Symmetry generates all atoms from Ca at (0.000, 0.000, 0.000), Ta at (0.000, 0.500, 0.500) and Si at (0.234, 0.000, 0.639).

The calculation puts the density of states at the Fermi level at 4.1 states/eV/cell. The crystal system is monoclinic. The value obtained for the uncorrected formation energy is -0.81 eV/f.u.


The records above yield offset from the most stable computed form values of 0.0; 48.9 meV/atom, respectively.